[1]
Density functional theory data (PBEsol) for an optimized crystal structure of Y2PtBr.

Lattice parameters (Å, degrees): 6.426 6.426 6.426 143.88 143.88 52.01
Fractional positions:
Y (0.000, 0.000, 0.000)
Y (0.750, 0.250, 0.500)
Pt (0.250, 0.750, 0.500)
Br (0.500, 0.500, 0.000)

Computed properties:
Energy relative to the elements, uncorrected ... -0.81 eV per atom
Total DFT energy (no corrections) ... -6.43 eV/atom
Energy above the most stable polymorph in this dataset ... 430 meV/atom



[2]
Density functional theory data (PBEsol) for an optimized crystal structure of SnAs2RuSe.

Lattice parameters (Å, degrees): 4.605 4.605 5.369 90.00 90.00 90.00
Fractional positions:
Sn (0.000, 0.000, 0.000)
As (0.000, 0.500, 0.500)
As (0.500, 0.000, 0.500)
Ru (0.500, 0.500, 0.500)
Se (0.500, 0.500, 0.000)

Computed properties:
Energy relative to the elements, uncorrected ... 0.31 eV per atom
Total DFT energy (no corrections) ... -5.39 eV/atom
Energy above the most stable polymorph in this dataset ... 0 meV/atom



[3]
Density functional theory data (PBEsol) for an optimized crystal structure of VP2O7.

Lattice parameters (Å, degrees): 6.783 7.961 9.321 90.00 107.99 90.00
Fractional positions:
V (0.222, 0.232, 0.006)
V (0.222, 0.268, 0.506)
V (0.778, 0.732, 0.494)
V (0.778, 0.768, 0.994)
P (0.031, 0.588, 0.296)
P (0.031, 0.912, 0.796)
P (0.432, 0.029, 0.795)
P (0.432, 0.471, 0.295)
P (0.568, 0.529, 0.705)
P (0.568, 0.971, 0.205)
P (0.969, 0.088, 0.204)
P (0.969, 0.412, 0.704)
O (0.020, 0.230, 0.110)
O (0.020, 0.270, 0.610)
O (0.029, 0.083, 0.867)
O (0.029, 0.417, 0.367)
O (0.108, 0.093, 0.369)
O (0.108, 0.407, 0.869)
O (0.264, 0.616, 0.293)
O (0.264, 0.884, 0.793)
O (0.360, 0.058, 0.156)
O (0.360, 0.442, 0.656)
O (0.383, 0.101, 0.636)
O (0.383, 0.399, 0.136)
O (0.411, 0.166, 0.906)
O (0.411, 0.334, 0.406)
O (0.589, 0.666, 0.594)
O (0.589, 0.834, 0.094)
O (0.617, 0.601, 0.864)
O (0.617, 0.899, 0.364)
O (0.640, 0.558, 0.344)
O (0.640, 0.942, 0.844)
O (0.736, 0.116, 0.207)
O (0.736, 0.384, 0.707)
O (0.892, 0.593, 0.131)
O (0.892, 0.907, 0.631)
O (0.971, 0.583, 0.633)
O (0.971, 0.917, 0.133)
O (0.980, 0.730, 0.390)
O (0.980, 0.770, 0.890)

Computed properties:
Energy relative to the elements, uncorrected ... -2.21 eV per atom
Total DFT energy (no corrections) ... -8.00 eV/atom
Energy above the most stable polymorph in this dataset ... 19 meV/atom